No. 1
{"formula": "CdInPd", "functional": "PBE", "state": "optimized geometry", "lattice": [[-1.856, 1.071, -2.768], [-0.963, -3.305, -0.634], [-2.410, 1.696, 4.485]], "species": ["Pd", "In", "Cd"], "fractional_positions": [[0.947, 0.947, 0.894], [0.296, 0.296, 0.591], [0.607, 0.607, 0.215]], "e_form_mev_per_atom": -278, "rho_g_cm3": 9.5, "n_ef_per_ev_atom": 0.4416, "spacegroup": "I4mm"}

=====

No. 2
{"formula": "DyCrS4", "functional": "PBE", "state": "optimized geometry", "lattice": [[-3.159, -2.319, -4.382], [3.421, -5.527, 2.275], [-4.372, 2.801, 4.704]], "species": ["S", "S", "S", "S", "S", "S", "S", "S", "Cr", "Cr", "Dy", "Dy"], "fractional_positions": [[0.365, 0.659, 0.876], [0.623, 0.055, 0.319], [0.804, 0.736, 0.681], [0.989, 0.784, 0.124], [0.011, 0.216, 0.876], [0.196, 0.264, 0.319], [0.377, 0.945, 0.681], [0.635, 0.341, 0.124], [0.755, 0.005, 0.010], [0.245, 0.995, 0.990], [0.619, 0.369, 0.738], [0.381, 0.631, 0.262]], "formation_energy_uncorrected_ev_per_atom": -0.8104, "rho_g_cm3": 5.0, "n_ef_per_ev_atom": 0.4295, "spacegroup": "C2/c"}